No. 1
The following is a PBE calculation of a geometry-optimized CdPdF4 structure, from Alexandria.

Output
M_tot (μB/atom): 0.333
Crystal system: tetragonal

abc: 4.3469 4.3469 6.8695
angles: 108.44 108.44 90.00
Last column: nearest neighbours and their distance in Å.
Fractional coordinates of all 6 atoms:
Cd 0.7500 0.2500 0.5000  4 F 2.16
Pd 0.5000 0.5000 0.0000  4 F 2.11
F 0.3996 0.8498 0.2594  1 Pd 2.11, 1 Cd 2.16
F 0.8598 0.4096 0.2594  1 Pd 2.11, 1 Cd 2.16
F 0.1502 0.1402 0.7406  1 Pd 2.11, 1 Cd 2.16
F 0.5904 0.6004 0.7406  1 Pd 2.11, 1 Cd 2.16


No. 2
The following is a PBE calculation of a geometry-optimized CdPd3F structure, from Alexandria.

Output
M_tot (μB/atom): 0.200
Crystal system: cubic

abc: 5.0823 5.0823 5.0823
angles: 90.00 90.00 90.00
Last column: nearest neighbours and their distance in Å.
Fractional coordinates of all 5 atoms:
F 0.5000 0.5000 0.5000  12 Pd 3.59
Pd 0.0000 0.5000 0.0000  2 Cd 2.54
Pd 0.0000 0.0000 0.5000  2 Cd 2.54
Pd 0.5000 0.0000 0.0000  2 Cd 2.54
Cd 0.0000 0.0000 0.0000  6 Pd 2.54


No. 3
The following is a PBE calculation of a geometry-optimized CdPd3F structure, from Alexandria.

Output
M_tot (μB/atom): 0.000
Crystal system: cubic

abc: 4.4004 4.4004 4.4004
angles: 90.00 90.00 90.00
Last column: nearest neighbours and their distance in Å.
Fractional coordinates of all 5 atoms:
F 0.0000 0.0000 0.0000  6 Pd 2.20
Pd 0.0000 0.5000 0.0000  2 F 2.20
Pd 0.0000 0.0000 0.5000  2 F 2.20
Pd 0.5000 0.0000 0.0000  2 F 2.20
Cd 0.5000 0.5000 0.5000  12 Pd 3.11


Looking at raw formation energy for the records above, in order, we have -1.36 0.83 0.01 eV per atom.